## CaTl2PbO6 (PBE-GGA)

Data for crystalline CaTl2PbO6 at its relaxed geometry.

Lattice parameters (Å, degrees): 5.826 5.826 6.127 61.61 61.61 60.00
Fractional coordinates of all 10 atoms:
O 0.129 0.408 0.763
O 0.604 0.213 0.251
O 0.931 0.604 0.251
O 0.408 0.701 0.763
O 0.701 0.129 0.763
O 0.213 0.931 0.251
Tl 0.528 0.528 0.417
Tl 0.027 0.027 0.920
Pb 0.314 0.314 0.058
Ca 0.808 0.808 0.577

Properties
space group = R3
D(E_F) = 2.7 states/eV/f.u.
uncorrected formation energy = -1.213 eV/atom

## Ca2TlPbO6 (PBE-GGA)

Data for crystalline Ca2TlPbO6 at its relaxed geometry.

Lattice parameters (Å, degrees): 5.799 6.027 8.283 90.00 91.14 90.00
Fractional coordinates of all 20 atoms:
Pb 0.500 0.000 0.000
Pb 0.000 0.500 0.500
Ca 0.479 0.439 0.255
Ca 0.021 0.939 0.245
Ca 0.521 0.561 0.745
Ca 0.979 0.061 0.755
O 0.304 0.709 0.083
O 0.196 0.209 0.417
O 0.699 0.301 0.570
O 0.140 0.427 0.742
O 0.199 0.199 0.070
O 0.801 0.801 0.930
O 0.860 0.573 0.258
O 0.360 0.927 0.758
O 0.640 0.073 0.242
O 0.804 0.791 0.583
O 0.301 0.699 0.430
O 0.696 0.291 0.917
Tl 0.000 0.500 0.000
Tl 0.500 0.000 0.500

Properties
space group = P2_1/c
D(E_F) = 7.2 states/eV/f.u.
uncorrected formation energy = -1.540 eV/atom